VASP calculation (GGA+U) on AcCr2MoO8 after structural relaxation.

Cell: 6.091 6.091 6.091 Å, 105.86 105.86 116.97°
Each line ends with the local moment (μB).
Fractional positions:
Ac (0.250, 0.750, 0.500)  -0.01
Cr (0.750, 0.250, 0.500)  1.04
Cr (0.500, 0.500, 0.000)  3.01
Mo (0.000, 0.000, 0.000)  1.18
O (0.400, 0.089, 0.311)  -0.02
O (0.261, 0.421, 0.160)  -0.06
O (0.261, 0.101, 0.840)  -0.06
O (0.778, 0.089, 0.689)  -0.02
O (0.899, 0.739, 0.160)  -0.06
O (0.911, 0.222, 0.311)  -0.02
O (0.911, 0.600, 0.689)  -0.02
O (0.579, 0.739, 0.840)  -0.06

* crystal system: tetragonal
* E: -7.28 eV/atom